Entry 1:
Crystalline CdCoTeO at its relaxed geometry. Source: OQMD via LeMat-Bulk, functional PBE+U.

Geometry as extended XYZ:
```
16
Lattice="6.0998 0.0000 0.0000 0.0000 7.6732 0.0000 0.0000 0.0000 7.7171" Properties=species:S:1:pos:R:3 pbc="T T T"
Cd 0.4825 0.8114 2.9949
Cd 2.5674 6.8618 6.8535
Cd 3.5324 3.0252 4.7222
Cd 5.6173 4.6480 0.8637
Co 0.2468 5.4195 4.1002
Co 2.8031 2.2537 0.2416
Co 3.2967 6.0903 3.6170
Co 5.8530 1.5829 7.4755
Te 1.4154 4.4179 6.3431
Te 1.6345 3.2553 2.4845
Te 4.4653 7.0919 1.3741
Te 4.6844 0.5813 5.2327
O 1.5124 0.9959 7.4148
O 1.5375 6.6773 3.5563
O 4.5623 2.8407 0.3023
O 4.5874 4.8325 4.1609
```

Symmetry: P2_12_12_1
Total magnetization: 12.00 μB per cell
Energy above the most stable polymorph in this dataset: 38 meV/atom
Raw total energy: -3.997 eV per atom



Entry 2:
Crystalline CdCoTeO at its relaxed geometry. Source: OQMD via LeMat-Bulk, functional PBE+U.

Geometry as extended XYZ:
```
32
Lattice="7.1487 0.0000 0.0000 0.0000 13.1063 0.0000 0.0000 0.0000 7.2409" Properties=species:S:1:pos:R:3 pbc="T T T"
Cd 0.4581 3.1469 1.0181
Cd 0.4581 3.4062 4.6386
Cd 3.1163 9.7000 1.0181
Cd 3.1163 9.9594 4.6386
Cd 4.0324 3.1469 2.6024
Cd 4.0324 3.4062 6.2228
Cd 6.6906 9.7000 2.6024
Cd 6.6906 9.9594 6.2228
Co 1.4388 7.5471 6.6298
Co 1.4388 12.1123 3.0093
Co 2.1356 0.9939 6.6298
Co 2.1356 5.5592 3.0093
Co 5.0131 7.5471 4.2316
Co 5.0131 12.1123 0.6112
Co 5.7099 0.9939 4.2316
Co 5.7099 5.5592 0.6112
Te 0.4052 7.0470 1.7745
Te 0.4052 12.6124 5.3949
Te 3.1692 0.4938 1.7745
Te 3.1692 6.0593 5.3949
Te 3.9796 7.0470 1.8460
Te 3.9796 12.6124 5.4665
Te 6.7435 0.4938 1.8460
Te 6.7435 6.0593 5.4665
O 1.7627 2.8419 6.4132
O 1.7627 3.7112 2.7927
O 1.8117 9.3950 6.4132
O 1.8117 10.2644 2.7927
O 5.3370 2.8419 4.4482
O 5.3370 3.7112 0.8278
O 5.3861 9.3950 4.4482
O 5.3861 10.2644 0.8278
```

Symmetry: Pbca
Total magnetization: 21.80 μB per cell
Energy above the most stable polymorph in this dataset: 132 meV/atom
Raw total energy: -3.903 eV per atom



Question: Which of these has the highest total magnetization?
Answer: number 2